Record 1
DFT (PBE) results for PrSm2YHo2 after structural relaxation.

Properties
The value obtained for the formation enthalpy at 0 K is 0.265 eV/atom. The value obtained for the magnetization is 0.000 μB per formula unit. Its space group is No. 58.

Cell: 3.429 6.586 18.038 Å, 90.00 90.00 90.00°
Fractional positions:
Sm: 0.500 0.276 0.313
Sm: 0.500 0.724 0.687
Sm: 0.000 0.776 0.187
Sm: 0.000 0.224 0.813
Y: 0.500 0.500 0.000
Y: 0.000 0.000 0.500
Ho: 0.000 0.721 0.852
Ho: 0.500 0.221 0.648
Ho: 0.000 0.279 0.148
Ho: 0.500 0.779 0.352
Pr: 0.000 0.000 0.000
Pr: 0.500 0.500 0.500

=====

Record 2
DFT (PBE) results for PrSm2Y4Ho2 after structural relaxation.

Properties
The value obtained for the formation enthalpy at 0 K is 0.003 eV/atom. The value obtained for the magnetization is 0.000 μB per formula unit. Its space group is No. 12.

Cell: 3.625 9.564 9.623 Å, 115.19 90.00 100.92°
Fractional positions:
Ho: 0.668 0.336 0.001
Ho: 0.332 0.664 0.999
Sm: 0.852 0.703 0.333
Sm: 0.148 0.297 0.667
Y: 0.814 0.629 0.666
Y: 0.519 0.038 0.335
Y: 0.186 0.371 0.334
Y: 0.481 0.962 0.665
Pr: 0.000 0.000 0.000

=====

no.,density of states at the Fermi level (states/eV/cell)
1,20.9
2,12.4